VASP calculation (PBE) on an optimized crystal structure of LiSmAl2.

## Properties
Theoretical density (kg/m3): 4160
Excess energy over the best structure of this formula in the dataset (meV per atom): 23
E_form (kcal/mol of atoms): -5.2
Space group: Fm-3m, No. 225
Total moment (μB/f.u.): 0.00

```
data_LiSmAl2
_symmetry_space_group_name_H-M 'P 1'
_symmetry_Int_Tables_number 1
_cell_length_a 4.922
_cell_length_b 4.922
_cell_length_c 4.922
_cell_angle_alpha 60.00
_cell_angle_beta 60.00
_cell_angle_gamma 60.00
loop_
_symmetry_equiv_pos_as_xyz
'x,y,z'
loop_
_atom_site_label
_atom_site_type_symbol
_atom_site_fract_x
_atom_site_fract_y
_atom_site_fract_z
Al1 Al 0.750 0.750 0.750
Al2 Al 0.250 0.250 0.250
Sm1 Sm 0.500 0.500 0.500
Li1 Li 0.000 0.000 0.000
```